# 1
Material: Tb3PrNd2Ho6
Method: DFT, PBE
State: optimized geometry

Computed properties:
volume	386.67	Å³ per cell
calculated formation energy	0.0172	eV/atom

The structure in POSCAR format:
```
Tb3PrNd2Ho6
1.0
3.101 -5.369 0.000
3.101 5.369 0.000
-2.059 0.000 11.612
Tb Pr Nd Ho
3 1 2 6
Direct
0.000 0.000 0.000
0.333 0.667 0.000
0.667 0.333 0.000
0.500 0.500 0.500
0.167 0.833 0.500
0.833 0.167 0.500
0.081 0.415 0.247
0.252 0.252 0.753
0.415 0.081 0.247
0.585 0.919 0.753
0.748 0.748 0.247
0.919 0.585 0.753
```

=====

# 2
Material: TaMoRh4
Method: DFT, PBE
State: optimized geometry

Computed properties:
volume	92.84	Å³ per cell
calculated formation energy	0.0176	eV/atom

The structure in POSCAR format:
```
TaMoRh4
1.0
0.000 3.594 3.594
3.594 0.000 3.594
3.594 3.594 0.000
Ta Mo Rh
1 1 4
Direct
0.000 0.000 0.000
0.750 0.750 0.750
0.375 0.375 0.375
0.375 0.375 0.874
0.375 0.874 0.375
0.874 0.375 0.375
```